Entry 1:
## DyNbS (PBE)

Data for a relaxed DyNbS crystal.

Geometry as POSCAR:
```
DyNbS
1.0
0.746 -6.293 2.251
2.470 -6.191 -0.893
2.995 6.319 1.847
Nb S Dy
2 2 2
direct
0.328 0.328 0.719
0.672 0.672 0.281
0.664 0.664 0.632
0.336 0.336 0.368
0.076 0.076 0.818
0.924 0.924 0.182
```

Output
Its total moment is 0.000 μB/atom.



Entry 2:
## Mn4Zn10Fe (PBE)

Data for a relaxed Mn4Zn10Fe crystal.

Geometry as POSCAR:
```
Mn4Zn10Fe
1.0
-0.786 5.592 1.483
-6.707 1.521 2.202
1.330 1.389 6.960
Mn Zn Fe
4 10 1
direct
0.401 0.802 0.396
0.797 0.604 0.802
0.203 0.396 0.198
0.599 0.198 0.604
0.250 0.500 0.500
0.661 0.294 0.902
0.045 0.098 0.294
0.437 0.902 0.706
0.857 0.706 0.098
0.339 0.706 0.098
0.750 0.500 0.500
0.143 0.294 0.902
0.563 0.098 0.294
0.955 0.902 0.706
0.000 0.000 0.000
```

Output
Its total moment is 1.040 μB/atom. The value obtained for the formation enthalpy at 0 K is 0.384 eV per atom.



We obtain E_tot values of -7.200, -3.475 eV/atom for the records listed above, in that order.